1.
# Ga4Co3Rh | Alexandria | PBE | relaxed
# ρ = 9.3 g/cm³
# E_tot = -0.2007 hartree per atom
# Energy of formation from the pure elements = -0.36 eV/atom
data_Ga4Co3Rh
_chemical_formula_sum 'Ga4 Co3 Rh1'
_space_group_name_H-M_alt 'P m m m'
_space_group_IT_number 47
_space_group_name_Hall '-P 2 2'
_cell_length_a 2.9557
_cell_length_b 4.1217
_cell_length_c 8.2200
_cell_angle_alpha 90.00
_cell_angle_beta 90.00
_cell_angle_gamma 90.00
loop_
_atom_site_label
_atom_site_type_symbol
_atom_site_fract_x
_atom_site_fract_y
_atom_site_fract_z
Ga1 Ga 0.0000 0.0000 0.0000
Ga2 Ga 0.0000 0.0000 0.5000
Ga3 Ga 0.0000 0.5000 0.2392
Co1 Co 0.5000 0.0000 0.2459
Co2 Co 0.5000 0.5000 0.0000
Rh1 Rh 0.5000 0.5000 0.5000

---

2.
# Be4SiNi5 | Alexandria | PBE | relaxed
# ρ = 6.3 g/cm³
# Formation energy without anion corrections = -0.451 eV/atom
# E_tot = -0.1975 hartree per atom
data_Be4SiNi5
_chemical_formula_sum 'Be4 Si1 Ni5'
_space_group_name_H-M_alt 'P 4/m m m'
_space_group_IT_number 123
_space_group_name_Hall '-P 4 2'
_cell_length_a 2.6495
_cell_length_b 2.6495
_cell_length_c 13.3619
_cell_angle_alpha 90.00
_cell_angle_beta 90.00
_cell_angle_gamma 90.00
loop_
_atom_site_label
_atom_site_type_symbol
_atom_site_fract_x
_atom_site_fract_y
_atom_site_fract_z
Be1 Be 0.0000 0.0000 0.0966
Be2 Be 0.0000 0.0000 0.2879
Si1 Si 0.0000 0.0000 0.5000
Ni1 Ni 0.5000 0.5000 0.0000
Ni2 Ni 0.5000 0.5000 0.1924
Ni3 Ni 0.5000 0.5000 0.3890

---

> What is the formula in the second record?

Be4SiNi5

---

> Which value of E_tot does entry 2 give?

-0.1975 hartree per atom